(1)
DFT (PBE) results for a relaxed structure of MnAl3.

Computed properties:
The value obtained for the density of states at the Fermi level is 0.63 states/eV per atom. Its calculated formation energy is -26.8 meV per atom.

a = 2.834 Å, b = 2.834 Å, c = 8.634 Å
α = 90.00°, β = 90.00°, γ = 120.00°
Sites, in units of the cell vectors:
Al1 0.667 0.333 0.250
Al2 0.000 0.000 0.979
Al3 0.000 0.000 0.521
Mn1 0.667 0.333 0.750

(2)
DFT (PBE) results for a relaxed structure of TaAgAs.

Computed properties:
The value obtained for the density of states at the Fermi level is 1.16 states/eV per atom. Its calculated formation energy is 434.5 meV per atom.

a = 4.343 Å, b = 4.343 Å, c = 4.343 Å
α = 60.00°, β = 60.00°, γ = 60.00°
Sites, in units of the cell vectors:
As1 0.750 0.750 0.750
Ta1 0.000 0.000 0.000
Ag1 0.500 0.500 0.500

(3)
DFT (PBE) results for a relaxed structure of Pr3DyY3Se8.

Computed properties:
The value obtained for the density of states at the Fermi level is 0.47 states/eV per atom. The calculation puts the formation energy from raw total energies at -1.86 eV per atom.

a = 8.271 Å, b = 8.271 Å, c = 8.360 Å
α = 119.65°, β = 90.00°, γ = 120.00°
Sites, in units of the cell vectors:
Pr1 0.000 0.500 0.000
Pr2 0.500 0.500 0.000
Pr3 0.000 0.000 0.000
Y1 0.500 0.000 0.500
Y2 0.000 0.500 0.500
Y3 0.500 0.500 0.500
Dy1 0.000 0.000 0.500
Se1 0.751 0.503 0.261
Se2 0.745 0.490 0.735
Se3 0.255 0.510 0.265
Se4 0.249 0.990 0.739
Se5 0.741 0.990 0.739
Se6 0.259 0.010 0.261
Se7 0.751 0.010 0.261
Se8 0.249 0.497 0.739

(4)
DFT (PBE) results for a relaxed structure of Zn2CuCl.

Computed properties:
The value obtained for the density of states at the Fermi level is 0.30 states/eV per atom. The calculation puts the formation energy from raw total energies at -0.03 eV per atom. As for the offset from the most stable computed form: 78 meV per atom.

a = 3.052 Å, b = 3.052 Å, c = 7.041 Å
α = 90.00°, β = 90.00°, γ = 90.00°
Sites, in units of the cell vectors:
Cl1 0.500 0.500 0.250
Zn1 0.000 0.000 0.961
Zn2 0.000 0.000 0.539
Cu1 0.500 0.500 0.750

(5)
DFT (PBE) results for a relaxed structure of LaCrPt2.

Computed properties:
The value obtained for the density of states at the Fermi level is 0.38 states/eV per atom. Its calculated formation energy is -450.2 meV per atom. As for the offset from the most stable computed form: 210 meV per atom.

a = 5.431 Å, b = 5.431 Å, c = 5.431 Å
α = 134.97°, β = 134.97°, γ = 65.58°
Sites, in units of the cell vectors:
Pt1 0.250 0.750 0.500
Pt2 0.000 0.000 0.000
La1 0.750 0.250 0.500
Cr1 0.500 0.500 0.000

(6)
DFT (PBE) results for a relaxed structure of Hf2CuNi.

Computed properties:
The value obtained for the density of states at the Fermi level is 1.28 states/eV per atom. Its calculated formation energy is 9.4 meV per atom.

a = 4.104 Å, b = 4.104 Å, c = 5.417 Å
α = 67.80°, β = 67.80°, γ = 60.05°
Sites, in units of the cell vectors:
Ni1 0.439 0.439 0.683
Cu1 0.809 0.809 0.574
Hf1 0.029 0.029 0.914
Hf2 0.224 0.224 0.330

(7)
DFT (PBE) results for a relaxed structure of TlCuW.

Computed properties:
The value obtained for the density of states at the Fermi level is 1.19 states/eV per atom. Its calculated formation energy is 1203.6 meV per atom. As for the offset from the most stable computed form: 466 meV per atom.

a = 4.317 Å, b = 4.317 Å, c = 4.317 Å
α = 60.00°, β = 60.00°, γ = 60.00°
Sites, in units of the cell vectors:
Cu1 0.750 0.750 0.750
W1 0.500 0.500 0.500
Tl1 0.000 0.000 0.000

(8)
DFT (PBE) results for a relaxed structure of TePd2PtF.

Computed properties:
The value obtained for the density of states at the Fermi level is 1.00 states/eV per atom. The calculation puts the formation energy from raw total energies at 0.13 eV per atom. As for the offset from the most stable computed form: 0 meV per atom.

a = 5.089 Å, b = 3.892 Å, c = 5.089 Å
α = 90.00°, β = 90.00°, γ = 90.00°
Sites, in units of the cell vectors:
Te1 0.500 0.500 0.500
Pt1 0.000 0.000 0.000
Pd1 0.500 0.000 0.000
Pd2 0.000 0.000 0.500
F1 0.000 0.500 0.000

(9)
DFT (PBE) results for a relaxed structure of Ta2TcW.

Computed properties:
The value obtained for the density of states at the Fermi level is 0.51 states/eV per atom. Its calculated formation energy is -284.4 meV per atom. As for the offset from the most stable computed form: 19 meV per atom.

a = 4.548 Å, b = 4.548 Å, c = 4.548 Å
α = 60.00°, β = 60.00°, γ = 60.00°
Sites, in units of the cell vectors:
Tc1 0.000 0.000 0.000
Ta1 0.750 0.750 0.750
Ta2 0.250 0.250 0.250
W1 0.500 0.500 0.500

(10)
DFT (PBE) results for a relaxed structure of KLaF2.

Computed properties:
The value obtained for the density of states at the Fermi level is 0.87 states/eV per atom. The calculation puts the formation energy from raw total energies at -1.83 eV per atom. As for the offset from the most stable computed form: 814 meV per atom.

a = 4.761 Å, b = 4.761 Å, c = 4.761 Å
α = 60.00°, β = 60.00°, γ = 60.00°
Sites, in units of the cell vectors:
K1 0.000 0.000 0.000
F1 0.750 0.750 0.750
F2 0.250 0.250 0.250
La1 0.500 0.500 0.500

(11)
DFT (PBE) results for a relaxed structure of Y3In2Ga2.

Computed properties:
The value obtained for the density of states at the Fermi level is 0.83 states/eV per atom. Its calculated formation energy is -545.1 meV per atom.

a = 4.076 Å, b = 6.125 Å, c = 8.171 Å
α = 111.76°, β = 90.00°, γ = 109.43°
Sites, in units of the cell vectors:
Ga1 0.816 0.631 0.057
Ga2 0.184 0.369 0.943
In1 0.959 0.918 0.659
In2 0.041 0.082 0.341
Y1 0.310 0.621 0.345
Y2 0.690 0.379 0.655
Y3 0.500 0.000 0.000

(12)
DFT (PBE) results for a relaxed structure of Th4ZrHg5.

Computed properties:
The value obtained for the density of states at the Fermi level is 1.09 states/eV per atom. Its calculated formation energy is -203.5 meV per atom.

a = 3.415 Å, b = 3.415 Å, c = 22.398 Å
α = 90.00°, β = 90.00°, γ = 90.00°
Sites, in units of the cell vectors:
Hg1 0.500 0.500 0.293
Hg2 0.500 0.500 0.707
Hg3 0.500 0.500 0.500
Hg4 0.500 0.500 0.914
Hg5 0.500 0.500 0.086
Th1 0.000 0.000 0.189
Th2 0.000 0.000 0.811
Th3 0.000 0.000 0.396
Th4 0.000 0.000 0.604
Zr1 0.000 0.000 0.000

(13)
DFT (PBE) results for a relaxed structure of Li2FeMo.

Computed properties:
The value obtained for the density of states at the Fermi level is 0.46 states/eV per atom. Its calculated formation energy is 366.6 meV per atom. As for the offset from the most stable computed form: 136 meV per atom.

a = 5.202 Å, b = 5.202 Å, c = 5.202 Å
α = 142.07°, β = 142.07°, γ = 54.73°
Sites, in units of the cell vectors:
Fe1 0.750 0.250 0.500
Li1 0.500 0.500 0.000
Li2 0.000 0.000 0.000
Mo1 0.250 0.750 0.500

(14)
DFT (PBE) results for a relaxed structure of PmInPb.

Computed properties:
The value obtained for the density of states at the Fermi level is 0.61 states/eV per atom. Its calculated formation energy is -254.9 meV per atom. As for the offset from the most stable computed form: 98 meV per atom.

a = 5.681 Å, b = 3.654 Å, c = 9.004 Å
α = 78.29°, β = 90.00°, γ = 90.00°
Sites, in units of the cell vectors:
Pb1 0.250 0.353 0.294
Pb2 0.750 0.647 0.706
Pm1 0.750 0.830 0.340
Pm2 0.250 0.170 0.660
In1 0.500 0.000 0.000
In2 0.000 0.000 0.000

(15)
DFT (PBE) results for a relaxed structure of Ac2TlCo2.

Computed properties:
The value obtained for the density of states at the Fermi level is 0.92 states/eV per atom. Its calculated formation energy is -148.1 meV per atom.

a = 4.085 Å, b = 4.230 Å, c = 7.953 Å
α = 90.00°, β = 104.88°, γ = 90.00°
Sites, in units of the cell vectors:
Ac1 0.638 0.500 0.276
Ac2 0.362 0.500 0.724
Co1 0.217 0.000 0.435
Co2 0.783 0.000 0.565
Tl1 0.000 0.000 0.000

(16)
DFT (PBE) results for a relaxed structure of NaAlSn.

Computed properties:
The value obtained for the density of states at the Fermi level is 0.40 states/eV per atom. Its calculated formation energy is 32.2 meV per atom.

a = 6.346 Å, b = 4.561 Å, c = 9.746 Å
α = 90.00°, β = 90.00°, γ = 90.00°
Sites, in units of the cell vectors:
Sn1 0.872 0.750 0.093
Sn2 0.372 0.750 0.407
Sn3 0.628 0.250 0.593
Sn4 0.128 0.250 0.907
Al1 0.902 0.750 0.774
Al2 0.402 0.750 0.726
Al3 0.098 0.250 0.226
Al4 0.598 0.250 0.274
Na1 0.624 0.250 0.920
Na2 0.376 0.750 0.080
Na3 0.876 0.750 0.420
Na4 0.124 0.250 0.580

(17)
DFT (PBE) results for a relaxed structure of FeCuPd6.

Computed properties:
The value obtained for the density of states at the Fermi level is 1.18 states/eV per atom. Its calculated formation energy is -78.7 meV per atom. As for the offset from the most stable computed form: 0 meV per atom.

a = 3.899 Å, b = 3.899 Å, c = 7.746 Å
α = 90.00°, β = 90.00°, γ = 90.00°
Sites, in units of the cell vectors:
Pd1 0.000 0.500 0.748
Pd2 0.000 0.500 0.252
Pd3 0.500 0.500 0.000
Pd4 0.500 0.000 0.748
Pd5 0.500 0.500 0.500
Pd6 0.500 0.000 0.252
Fe1 0.000 0.000 0.500
Cu1 0.000 0.000 0.000

(18)
DFT (PBE) results for a relaxed structure of Y2AlPtS.

Computed properties:
The value obtained for the density of states at the Fermi level is 0.74 states/eV per atom. The calculation puts the formation energy from raw total energies at -0.56 eV per atom.

a = 5.102 Å, b = 4.439 Å, c = 5.102 Å
α = 90.00°, β = 90.00°, γ = 90.00°
Sites, in units of the cell vectors:
Pt1 0.500 0.500 0.500
Y1 0.000 0.000 0.500
Y2 0.500 0.000 0.000
S1 0.000 0.000 0.000
Al1 0.000 0.500 0.000

(19)
DFT (PBE) results for a relaxed structure of TaCr2AsOs.

Computed properties:
The value obtained for the density of states at the Fermi level is 2.06 states/eV per atom. Its calculated formation energy is 1932.2 meV per atom.

a = 4.602 Å, b = 4.783 Å, c = 4.602 Å
α = 90.00°, β = 90.00°, γ = 90.00°
Sites, in units of the cell vectors:
Cr1 0.500 0.000 0.000
Cr2 0.000 0.000 0.500
Os1 0.500 0.500 0.500
As1 0.000 0.500 0.000
Ta1 0.000 0.000 0.000

(20)
DFT (PBE) results for a relaxed structure of Co3PbS.

Computed properties:
The value obtained for the density of states at the Fermi level is 1.19 states/eV per atom. The calculation puts the formation energy from raw total energies at 0.23 eV per atom. As for the offset from the most stable computed form: 0 meV per atom.

a = 4.245 Å, b = 4.245 Å, c = 4.245 Å
α = 90.00°, β = 90.00°, γ = 90.00°
Sites, in units of the cell vectors:
Co1 0.000 0.500 0.000
Co2 0.000 0.000 0.500
Co3 0.500 0.000 0.000
Pb1 0.500 0.500 0.500
S1 0.000 0.000 0.000